Record 1
The following is a DFT calculation (PBEsol) of a relaxed CsNa2ZnSn crystal.

DFT formation energy ... 474.1 kJ/mol of formula units
Space-group type ... P4/mmm (123)

a b c (Å): 6.2553 6.7572 6.7572
angles (deg): 90.00 90.00 90.00
Fractional positions:
Zn: 0.5000 0.5000 0.5000
Cs: 0.0000 0.0000 0.0000
Na: 0.0000 0.5000 0.0000
Na: 0.0000 0.0000 0.5000
Sn: 0.5000 0.0000 0.0000

---

Record 2
The following is a DFT calculation (PBEsol) of a relaxed Cs3NaTc crystal.

DFT formation energy ... 525.3 kJ/mol of formula units
Space-group type ... Pm-3m (221)

a b c (Å): 5.9548 5.9548 5.9548
angles (deg): 90.00 90.00 90.00
Fractional positions:
Cs: 0.0000 0.0000 0.5000
Cs: 0.0000 0.5000 0.0000
Cs: 0.5000 0.0000 0.0000
Tc: 0.0000 0.0000 0.0000
Na: 0.5000 0.5000 0.5000

---

Record 3
The following is a DFT calculation (PBEsol) of a relaxed CsNaTe2 crystal.

Raw formation energy ... -693.9 meV/atom
Space-group type ... I-42d (122)

a b c (Å): 5.9651 5.9651 10.9935
angles (deg): 105.74 105.74 90.00
Fractional positions:
Cs: 0.2500 0.7500 0.5000
Cs: 0.0000 0.0000 0.0000
Te: 0.1250 0.3113 0.7500
Te: 0.6250 0.4387 0.7500
Te: 0.6887 0.3750 0.2500
Te: 0.5613 0.8750 0.2500
Na: 0.7500 0.2500 0.5000
Na: 0.5000 0.5000 0.0000

---

Record 4
The following is a DFT calculation (PBEsol) of a relaxed Cs6Na4Tl13 crystal.

DFT formation energy ... -374.8 kJ/mol of formula units
Space-group type ... Im-3 (204)

a b c (Å): 10.1614 10.1614 10.1614
angles (deg): 109.47 109.47 109.47
Fractional positions:
Tl: 0.7654 0.6260 0.8606
Tl: 0.9048 0.1394 0.7654
Tl: 0.7654 0.9048 0.1394
Tl: 0.1394 0.7654 0.9048
Tl: 0.2346 0.3740 0.1394
Tl: 0.0952 0.8606 0.2346
Tl: 0.8606 0.7654 0.6260
Tl: 0.6260 0.8606 0.7654
Tl: 0.2346 0.0952 0.8606
Tl: 0.8606 0.2346 0.0952
Tl: 0.3740 0.1394 0.2346
Tl: 0.1394 0.2346 0.3740
Tl: 0.0000 0.0000 0.0000
Na: 0.5000 0.5000 0.5000
Na: 0.0000 0.5000 0.0000
Na: 0.0000 0.0000 0.5000
Na: 0.5000 0.0000 0.0000
Cs: 0.5000 0.8295 0.3295
Cs: 0.5000 0.1705 0.6705
Cs: 0.6705 0.5000 0.1705
Cs: 0.8295 0.3295 0.5000
Cs: 0.1705 0.6705 0.5000
Cs: 0.3295 0.5000 0.8295

---

Record 5
The following is a DFT calculation (PBEsol) of a relaxed CsNa3Tl crystal.

DFT formation energy ... -2.4 kJ/mol of formula units
Space-group type ... Pm-3m (221)

a b c (Å): 6.0947 6.0947 6.0947
angles (deg): 90.00 90.00 90.00
Fractional positions:
Na: 0.0000 0.5000 0.0000
Na: 0.0000 0.0000 0.5000
Na: 0.5000 0.0000 0.0000
Cs: 0.5000 0.5000 0.5000
Tl: 0.0000 0.0000 0.0000

---

Record 6
The following is a DFT calculation (PBEsol) of a relaxed CsNaY2W crystal.

DFT formation energy ... 473.3 kJ/mol of formula units
Space-group type ... P4/mmm (123)

a b c (Å): 5.4223 5.4223 6.4077
angles (deg): 90.00 90.00 90.00
Fractional positions:
Cs: 0.0000 0.0000 0.5000
W: 0.0000 0.0000 0.0000
Y: 0.5000 0.0000 0.0000
Y: 0.0000 0.5000 0.0000
Na: 0.5000 0.5000 0.5000

---

Record 7
The following is a DFT calculation (PBEsol) of a relaxed Cs3NaZr crystal.

DFT formation energy ... 542.9 kJ/mol of formula units
Space-group type ... Pm-3m (221)

a b c (Å): 7.0469 7.0469 7.0469
angles (deg): 90.00 90.00 90.00
Last column: magnetic moment on the atom in μB.
Fractional positions:
Cs: 0.5000 0.0000 0.0000  0.02
Cs: 0.0000 0.5000 0.0000  0.02
Cs: 0.0000 0.0000 0.5000  0.02
Na: 0.0000 0.0000 0.0000  -0.01
Zr: 0.5000 0.5000 0.5000  1.69

---

Record 8
The following is a DFT calculation (PBEsol) of a relaxed Cs2NaZr2 crystal.

DFT formation energy ... 305.3 kJ/mol of formula units
Space-group type ... I4/mmm (139)

a b c (Å): 3.9740 3.9740 14.5892
angles (deg): 97.83 97.83 90.00
Fractional positions:
Na: 0.0000 0.0000 0.0000
Cs: 0.6239 0.6239 0.2478
Cs: 0.3761 0.3761 0.7522
Zr: 0.2500 0.7500 0.5000
Zr: 0.7500 0.2500 0.5000

---

Record 9
The following is a DFT calculation (PBEsol) of a relaxed CsNd2Ti2NbO10 crystal.

Raw formation energy ... -3005.4 meV/atom
Space-group type ... Cm (8)

a b c (Å): 3.8399 3.8399 15.3511
angles (deg): 89.84 89.84 89.83
Fractional positions:
O: 0.0037 0.0037 0.6073
O: 0.5140 0.0268 0.0080
O: 0.0268 0.5140 0.0080
O: 0.0067 0.0067 0.3952
O: 0.0130 0.5099 0.2442
O: 0.0144 0.0144 0.8771
O: 0.5099 0.0130 0.2442
O: 0.5023 0.9992 0.7534
O: 0.0231 0.0231 0.1272
O: 0.9992 0.5023 0.7534
Ti: 0.0014 0.0014 0.7178
Ti: 0.0018 0.0018 0.9978
Nb: 0.0062 0.0062 0.2788
Nd: 0.4926 0.4926 0.8465
Nd: 0.4842 0.4842 0.1269
Cs: 0.5049 0.5049 0.5141

---

Record 10
The following is a DFT calculation (PBEsol) of a relaxed Cs2Nb2O crystal.

Raw formation energy ... 349.5 meV/atom
Space-group type ... I4/mmm (139)

a b c (Å): 3.6113 3.6113 11.6306
angles (deg): 98.93 98.93 90.00
Last column: magnetic moment on the atom in μB.
Fractional positions:
Cs: 0.5737 0.5737 0.1474  0.00
Cs: 0.4263 0.4263 0.8526  0.00
Nb: 0.2500 0.7500 0.5000  0.01
Nb: 0.7500 0.2500 0.5000  0.01
O: 0.0000 0.0000 0.0000  0.34

---

Record 11
The following is a DFT calculation (PBEsol) of a relaxed CsNb2Si8O24 crystal.

Raw formation energy ... -2299.5 meV/atom
Space-group type ... P-1 (2)

a b c (Å): 7.5368 9.0654 9.7818
angles (deg): 90.22 70.61 88.22
Last column: magnetic moment on the atom in μB.
Fractional positions:
O: 0.2316 0.5980 0.9533  0.34
O: 0.3523 0.3057 0.4591  0.43
O: 0.6312 0.1076 0.3246  0.03
O: 0.4526 0.4004 0.7900  0.01
O: 0.4587 0.1076 0.8194  0.01
O: 0.5474 0.5996 0.2100  0.01
O: 0.2339 0.7419 0.2224  0.00
O: 0.7684 0.4020 0.0467  0.34
O: 0.1099 0.0945 0.8129  0.01
O: 0.7656 0.0980 0.0338  0.07
O: 0.8901 0.9055 0.1871  0.01
O: 0.7661 0.2581 0.7776  0.00
O: 0.5413 0.8924 0.1806  0.01
O: 0.0078 0.2866 0.0747  1.07
O: 0.9093 0.6018 0.1910  0.06
O: 0.9922 0.7134 0.9253  1.07
O: 0.3688 0.8924 0.6754  0.03
O: 0.0907 0.3982 0.8090  0.06
O: 0.2344 0.9020 0.9662  0.07
O: 0.6477 0.6943 0.5409  0.43
O: 0.6986 0.3951 0.3372  0.07
O: 0.6386 0.2296 0.5624  0.01
O: 0.3014 0.6049 0.6628  0.07
O: 0.3614 0.7704 0.4376  0.01
Si: 0.5719 0.2581 0.4214  -0.01
Si: 0.5738 0.2477 0.7372  0.00
Si: 0.2652 0.5008 0.8048  -0.01
Si: 0.4281 0.7419 0.5786  -0.01
Si: 0.7348 0.4992 0.1952  -0.01
Si: 0.4262 0.7523 0.2628  0.00
Si: 0.2936 0.9971 0.8184  0.00
Si: 0.7064 0.0029 0.1816  0.00
Cs: 0.0000 0.5000 0.5000  0.00
Nb: 0.9178 0.2418 0.9005  -0.07
Nb: 0.0822 0.7582 0.0995  -0.07

---

Record 12
The following is a DFT calculation (PBEsol) of a relaxed CsSr2Nb3O10 crystal.

Raw formation energy ... -2736.2 meV/atom
Space-group type ... P4/mmm (123)

a b c (Å): 3.9609 3.9609 15.3658
angles (deg): 90.00 90.00 90.00
Fractional positions:
Sr: 0.5000 0.5000 0.8552
Sr: 0.5000 0.5000 0.1448
O: 0.0000 0.0000 0.8720
O: 0.0000 0.0000 0.6016
O: 0.0000 0.5000 0.0000
O: 0.5000 0.0000 0.0000
O: 0.5000 0.0000 0.7449
O: 0.0000 0.5000 0.7449
O: 0.0000 0.5000 0.2551
O: 0.0000 0.0000 0.3984
O: 0.0000 0.0000 0.1280
O: 0.5000 0.0000 0.2551
Nb: 0.0000 0.0000 0.2819
Nb: 0.0000 0.0000 0.7181
Nb: 0.0000 0.0000 0.0000
Cs: 0.5000 0.5000 0.5000

---

Record 13
The following is a DFT calculation (PBEsol) of a relaxed CsNbWO6 crystal.

Raw formation energy ... -2376.3 meV/atom
Space-group type ... Imma (74)

a b c (Å): 7.3291 7.3861 7.3861
angles (deg): 60.35 60.25 60.25
Fractional positions:
O: 0.4372 0.8031 0.9417
O: 0.1935 0.5565 0.0565
O: 0.5628 0.5583 0.6969
O: 0.1820 0.1969 0.0583
O: 0.4358 0.8142 0.3142
O: 0.8180 0.4417 0.3031
O: 0.5642 0.1858 0.6858
O: 0.8180 0.8031 0.9417
O: 0.1820 0.5583 0.6969
O: 0.5628 0.1969 0.0583
O: 0.8065 0.4435 0.9435
O: 0.4372 0.4417 0.3031
W: 0.5000 0.5000 0.0000
W: 0.0000 0.5000 0.0000
Nb: 0.5000 0.5000 0.5000
Nb: 0.5000 0.0000 0.0000
Cs: 0.1281 0.1219 0.6219
Cs: 0.8719 0.8781 0.3781

---

Record 14
The following is a DFT calculation (PBEsol) of a relaxed CsNbOsRu2 crystal.

DFT formation energy ... 1150.9 kJ/mol of formula units
Space-group type ... P4/mmm (123)

a b c (Å): 4.6815 4.6815 5.2779
angles (deg): 90.00 90.00 90.00
Last column: magnetic moment on the atom in μB.
Fractional positions:
Cs: 0.0000 0.0000 0.5000  0.07
Nb: 0.5000 0.5000 0.5000  2.16
Os: 0.0000 0.0000 0.0000  0.00
Ru: 0.0000 0.5000 0.0000  -0.25
Ru: 0.5000 0.0000 0.0000  -0.25

---

Record 15
The following is a DFT calculation (PBEsol) of a relaxed CsNb2PSe10 crystal.

Raw formation energy ... -590.3 meV/atom
Space-group type ... Pc (7)

a b c (Å): 7.7684 13.5286 14.7463
angles (deg): 98.52 90.00 90.00
Fractional positions:
Se: 0.8762 0.8980 0.7327
Se: 0.1669 0.9690 0.3862
Se: 0.8347 0.7076 0.8830
Se: 0.1653 0.2076 0.8830
Se: 0.8429 0.9495 0.9876
Se: 0.3701 0.2041 0.7032
Se: 0.5785 0.0630 0.8644
Se: 0.9388 0.9848 0.4948
Se: 0.1266 0.0022 0.9960
Se: 0.0631 0.7262 0.9916
Se: 0.1160 0.1583 0.2365
Se: 0.8734 0.5022 0.9960
Se: 0.5813 0.8158 0.3641
Se: 0.8466 0.1890 0.7405
Se: 0.8599 0.2639 0.4959
Se: 0.8567 0.7113 0.4951
Se: 0.1238 0.3980 0.7327
Se: 0.6302 0.4599 0.2058
Se: 0.9369 0.2262 0.9916
Se: 0.0612 0.4848 0.4948
Se: 0.6299 0.7041 0.7032
Se: 0.3698 0.9599 0.2058
Se: 0.1433 0.2113 0.4951
Se: 0.5945 0.3439 0.8965
Se: 0.1525 0.4476 0.2443
Se: 0.8475 0.9476 0.2443
Se: 0.8331 0.4690 0.3862
Se: 0.8504 0.4713 0.7444
Se: 0.8840 0.6583 0.2365
Se: 0.1496 0.9713 0.7444
Se: 0.1585 0.7297 0.2479
Se: 0.8415 0.2297 0.2479
Se: 0.1571 0.4495 0.9876
Se: 0.4215 0.5630 0.8644
Se: 0.1534 0.6890 0.7405
Se: 0.5919 0.0977 0.4009
Se: 0.1401 0.7639 0.4959
Se: 0.4055 0.8439 0.8965
Se: 0.4187 0.3158 0.3641
Se: 0.4081 0.5977 0.4009
P: 0.4200 0.7016 0.7999
P: 0.4204 0.4566 0.3024
P: 0.5796 0.9566 0.3024
P: 0.5800 0.2016 0.7999
Nb: 0.0666 0.6120 0.3714
Nb: 0.9319 0.0585 0.8634
Nb: 0.0681 0.5585 0.8634
Nb: 0.9334 0.1120 0.3714
Nb: 0.0619 0.8532 0.8674
Nb: 0.9376 0.8173 0.3664
Nb: 0.0624 0.3173 0.3664
Nb: 0.9381 0.3532 0.8674
Cs: 0.4874 0.4542 0.5931
Cs: 0.4651 0.2142 0.0907
Cs: 0.5349 0.7142 0.0907
Cs: 0.5126 0.9542 0.5931

---

Record 16
The following is a DFT calculation (PBEsol) of a relaxed CsNbPb2 crystal.

DFT formation energy ... 324.6 kJ/mol of formula units
Space-group type ... Fm-3m (225)

a b c (Å): 5.5005 5.5005 5.5005
angles (deg): 60.00 60.00 60.00
Last column: magnetic moment on the atom in μB.
Fractional positions:
Pb: 0.2500 0.2500 0.2500  0.01
Pb: 0.7500 0.7500 0.7500  0.01
Nb: 0.0000 0.0000 0.0000  2.17
Cs: 0.5000 0.5000 0.5000  0.03

---

Record 17
The following is a DFT calculation (PBEsol) of a relaxed CsNbPd3 crystal.

DFT formation energy ... 359.7 kJ/mol of formula units
Space-group type ... Pm-3m (221)

a b c (Å): 4.9823 4.9823 4.9823
angles (deg): 90.00 90.00 90.00
Fractional positions:
Nb: 0.0000 0.0000 0.0000
Pd: 0.0000 0.5000 0.0000
Pd: 0.0000 0.0000 0.5000
Pd: 0.5000 0.0000 0.0000
Cs: 0.5000 0.5000 0.5000

---

Record 18
The following is a DFT calculation (PBEsol) of a relaxed CsNb3Pd crystal.

DFT formation energy ... 796.4 kJ/mol of formula units
Space-group type ... Pm-3m (221)

a b c (Å): 4.9858 4.9858 4.9858
angles (deg): 90.00 90.00 90.00
Fractional positions:
Nb: 0.5000 0.0000 0.0000
Nb: 0.0000 0.0000 0.5000
Nb: 0.0000 0.5000 0.0000
Pd: 0.0000 0.0000 0.0000
Cs: 0.5000 0.5000 0.5000

---

Record 19
The following is a DFT calculation (PBEsol) of a relaxed CsRbNb2Pd crystal.

DFT formation energy ... 626.6 kJ/mol of formula units
Space-group type ... P4/mmm (123)

a b c (Å): 5.0263 5.0263 6.4954
angles (deg): 90.00 90.00 90.00
Last column: magnetic moment on the atom in μB.
Fractional positions:
Nb: 0.0000 0.5000 0.0000  1.46
Nb: 0.5000 0.0000 0.0000  1.46
Cs: 0.5000 0.5000 0.5000  0.05
Rb: 0.0000 0.0000 0.5000  0.01
Pd: 0.0000 0.0000 0.0000  0.11

---

Record 20
The following is a DFT calculation (PBEsol) of a relaxed CsSrNb2Pd crystal.

DFT formation energy ... 622.6 kJ/mol of formula units
Space-group type ... P4/mmm (123)

a b c (Å): 5.0160 5.0160 6.1977
angles (deg): 90.00 90.00 90.00
Last column: magnetic moment on the atom in μB.
Fractional positions:
Nb: 0.5000 0.0000 0.0000  1.03
Nb: 0.0000 0.5000 0.0000  1.03
Cs: 0.0000 0.0000 0.5000  0.03
Pd: 0.0000 0.0000 0.0000  0.09
Sr: 0.5000 0.5000 0.5000  0.03

---

We obtain energy values of -0.934; -2.010; -3.042; -2.145; -1.559; -4.978; -1.538; -3.660; -8.708; -5.406; -7.858; -8.335; -8.717; -6.479; -5.367; -4.099; -5.182; -6.222; -4.615; -4.786 eV/atom for the records listed above, in that order.